w:
# GGA-PBE Ga2GeBr6, relaxed
data_Ga2GeBr6
_chemical_formula_sum 'Ga8 Ge4 Br24'
_cell_length_a 13.883
_cell_length_b 13.283
_cell_length_c 8.850
_cell_angle_alpha 90.00
_cell_angle_beta 115.48
_cell_angle_gamma 90.00
_symmetry_space_group_name_H-M 'C 1 2/c 1'
_symmetry_Int_Tables_number 15
loop_
_symmetry_equiv_pos_as_xyz
'x,y,z'
'-x,-y,-z'
'-x,y,-z+1/2'
'x,-y,z+1/2'
'x+1/2,y+1/2,z'
'-x+1/2,-y+1/2,-z'
'-x+1/2,y+1/2,-z+1/2'
'x+1/2,-y+1/2,z+1/2'
loop_
_atom_site_label
_atom_site_type_symbol
_atom_site_fract_x
_atom_site_fract_y
_atom_site_fract_z
Ga1 Ga 0.190 0.085 0.266
Ge1 Ge 0.000 0.397 0.250
Br1 Br 0.111 0.398 0.611
Br2 Br 0.135 0.278 0.219
Br3 Br 0.143 0.003 0.979
# Density: 3.12 g/cm³



x:
# GGA-PBE Ga2GeBr6, relaxed
data_Ga2GeBr6
_chemical_formula_sum 'Ga8 Ge4 Br24'
_cell_length_a 15.773
_cell_length_b 12.931
_cell_length_c 6.858
_cell_angle_alpha 90.00
_cell_angle_beta 97.78
_cell_angle_gamma 90.00
_symmetry_space_group_name_H-M 'C 1 2/c 1'
_symmetry_Int_Tables_number 15
loop_
_symmetry_equiv_pos_as_xyz
'x,y,z'
'-x,-y,-z'
'-x,y,-z+1/2'
'x,-y,z+1/2'
'x+1/2,y+1/2,z'
'-x+1/2,-y+1/2,-z'
'-x+1/2,y+1/2,-z+1/2'
'x+1/2,-y+1/2,z+1/2'
loop_
_atom_site_label
_atom_site_type_symbol
_atom_site_fract_x
_atom_site_fract_y
_atom_site_fract_z
Ga1 Ga 0.078 0.087 0.266
Ge1 Ge 0.000 0.434 0.250
Br1 Br 0.101 0.436 0.628
Br2 Br 0.142 0.069 0.623
Br3 Br 0.150 0.230 0.164
# Density: 3.31 g/cm³



Stability, descending: x, w



w:
# GGA-PBE GaGeBr2, relaxed
data_GaGeBr2
_chemical_formula_sum 'Ga4 Ge4 Br8'
_cell_length_a 7.341
_cell_length_b 7.341
_cell_length_c 7.341
_cell_angle_alpha 90.00
_cell_angle_beta 90.00
_cell_angle_gamma 90.00
_symmetry_space_group_name_H-M 'F m -3 m'
_symmetry_Int_Tables_number 225
_symmetry_space_group_name_Hall '-F 4 2 3'
loop_
_atom_site_label
_atom_site_type_symbol
_atom_site_fract_x
_atom_site_fract_y
_atom_site_fract_z
Ga1 Ga 0.000 0.000 0.000
Ge1 Ge 0.000 0.000 0.500
Br1 Br 0.250 0.250 0.250
# Density: 5.07 g/cm³



x:
# GGA-PBE GaGeBr2, relaxed
data_GaGeBr2
_chemical_formula_sum 'Ga4 Ge4 Br8'
_cell_length_a 5.528
_cell_length_b 5.528
_cell_length_c 17.429
_cell_angle_alpha 90.00
_cell_angle_beta 90.00
_cell_angle_gamma 90.00
_symmetry_space_group_name_H-M 'I -4 2 d'
_symmetry_Int_Tables_number 122
_symmetry_space_group_name_Hall 'I -4 2bw'
loop_
_atom_site_label
_atom_site_type_symbol
_atom_site_fract_x
_atom_site_fract_y
_atom_site_fract_z
Ga1 Ga 0.000 0.000 0.000
Ge1 Ge 0.000 0.000 0.500
Br1 Br 0.220 0.250 0.625
# Density: 3.77 g/cm³



Stability, descending: w, x



w:
# GGA-PBE GaGe2Br2, relaxed
data_GaGe2Br2
_chemical_formula_sum 'Ga2 Ge4 Br4'
_cell_length_a 8.915
_cell_length_b 8.915
_cell_length_c 3.366
_cell_angle_alpha 90.00
_cell_angle_beta 90.00
_cell_angle_gamma 90.00
_symmetry_space_group_name_H-M 'P 4/m b m'
_symmetry_Int_Tables_number 127
_symmetry_space_group_name_Hall '-P 4 2ab'
loop_
_atom_site_label
_atom_site_type_symbol
_atom_site_fract_x
_atom_site_fract_y
_atom_site_fract_z
Ga1 Ga 0.000 0.000 0.000
Ge1 Ge 0.209 0.291 0.500
Br1 Br 0.128 0.628 0.000
# Density: 4.65 g/cm³



x:
# GGA-PBE GaGe2Br2, relaxed
data_GaGe2Br2
_chemical_formula_sum 'Ga2 Ge4 Br4'
_cell_length_a 3.845
_cell_length_b 3.845
_cell_length_c 17.664
_cell_angle_alpha 90.00
_cell_angle_beta 90.00
_cell_angle_gamma 90.00
_symmetry_space_group_name_H-M 'I 4/m m m'
_symmetry_Int_Tables_number 139
_symmetry_space_group_name_Hall '-I 4 2'
loop_
_atom_site_label
_atom_site_type_symbol
_atom_site_fract_x
_atom_site_fract_y
_atom_site_fract_z
Ga1 Ga 0.000 0.000 0.000
Ge1 Ge 0.000 0.500 0.250
Br1 Br 0.000 0.000 0.396
# Density: 4.77 g/cm³



Stability, descending: x, w